An optimized crystal structure of Zn2AgHg. Source: Alexandria via LeMat-Bulk, functional PBE.

Calculated values
total DFT energy (no corrections): -1.349 eV/atom
ΔH_f (0 K): 0.077 eV per atom
space group: Cm

abc: 4.954 4.954 4.844
angles: 77.99 77.99 38.47
Element x y z (fractional)
1 Zn 0.746 0.746 0.740
2 Zn 0.009 0.009 0.991
3 Ag 0.491 0.491 0.534
4 Hg 0.254 0.254 0.235